# 1
# CaGaH2O4 GGA-PBE relaxed
# - electronic total energy (eV/atom) = -5.454
# - size of the total moment (μB per formula unit) = 1.007
# - DOS at the Fermi energy (states/eV/atom) = 0.502
data_CaGaH2O4
_chemical_formula_sum 'Ca2 Ga2 H4 O8'
_symmetry_space_group_name_H-M 'I 2 2 2'
_symmetry_Int_Tables_number 23
_symmetry_space_group_name_Hall 'I 2 2'
_cell_length_a 4.508
_cell_length_b 5.635
_cell_length_c 6.237
_cell_angle_alpha 90.00
_cell_angle_beta 90.00
_cell_angle_gamma 90.00
loop_
_atom_site_label
_atom_site_type_symbol
_atom_site_fract_x
_atom_site_fract_y
_atom_site_fract_z
Ca1 Ca 0.000 0.000 0.000
Ga1 Ga 0.000 0.000 0.500
H1 H 0.000 0.500 0.186
O1 O 0.216 0.369 0.813



# 2
# Ca2GaHPb GGA-PBE relaxed
# - electronic total energy (eV/atom) = -3.188
# - size of the total moment (μB per formula unit) = 0.000
# - DOS at the Fermi energy (states/eV/atom) = 0.299
# - E above lowest polymorph (eV per atom) = 0.000
data_Ca2GaHPb
_chemical_formula_sum 'Ca2 Ga1 H1 Pb1'
_symmetry_space_group_name_H-M 'P 4/m m m'
_symmetry_Int_Tables_number 123
_symmetry_space_group_name_Hall '-P 4 2'
_cell_length_a 4.912
_cell_length_b 4.912
_cell_length_c 4.569
_cell_angle_alpha 90.00
_cell_angle_beta 90.00
_cell_angle_gamma 90.00
loop_
_atom_site_label
_atom_site_type_symbol
_atom_site_fract_x
_atom_site_fract_y
_atom_site_fract_z
Ca1 Ca 0.000 0.500 0.000
Ga1 Ga 0.000 0.000 0.500
H1 H 0.000 0.000 0.000
Pb1 Pb 0.500 0.500 0.500



# 3
# Ca2GaHPb GGA-PBE relaxed
# - electronic total energy (eV/atom) = -2.801
# - size of the total moment (μB per formula unit) = 0.000
# - DOS at the Fermi energy (states/eV/atom) = 1.053
# - E above lowest polymorph (eV per atom) = 0.387
data_Ca2GaHPb
_chemical_formula_sum 'Ca2 Ga1 H1 Pb1'
_symmetry_space_group_name_H-M 'P 4/m m m'
_symmetry_Int_Tables_number 123
_symmetry_space_group_name_Hall '-P 4 2'
_cell_length_a 5.949
_cell_length_b 5.949
_cell_length_c 3.671
_cell_angle_alpha 90.00
_cell_angle_beta 90.00
_cell_angle_gamma 90.00
loop_
_atom_site_label
_atom_site_type_symbol
_atom_site_fract_x
_atom_site_fract_y
_atom_site_fract_z
Ca1 Ca 0.000 0.500 0.000
Ga1 Ga 0.000 0.000 0.000
H1 H 0.000 0.000 0.500
Pb1 Pb 0.500 0.500 0.500



# 4
# CaGa2HPb GGA-PBE relaxed
# - electronic total energy (eV/atom) = -1.917
# - size of the total moment (μB per formula unit) = 0.667
# - DOS at the Fermi energy (states/eV/atom) = 1.135
data_CaGa2HPb
_chemical_formula_sum 'Ca1 Ga2 H1 Pb1'
_symmetry_space_group_name_H-M 'P 4/m m m'
_symmetry_Int_Tables_number 123
_symmetry_space_group_name_Hall '-P 4 2'
_cell_length_a 5.787
_cell_length_b 5.787
_cell_length_c 5.999
_cell_angle_alpha 90.00
_cell_angle_beta 90.00
_cell_angle_gamma 90.00
loop_
_atom_site_label
_atom_site_type_symbol
_atom_site_fract_x
_atom_site_fract_y
_atom_site_fract_z
Ca1 Ca 0.000 0.000 0.000
Ga1 Ga 0.000 0.500 0.000
H1 H 0.500 0.500 0.500
Pb1 Pb 0.000 0.000 0.500



# 5
# Ca2GaHPd6 GGA-PBE relaxed
# - electronic total energy (eV/atom) = -4.763
# - size of the total moment (μB per formula unit) = 0.000
# - DOS at the Fermi energy (states/eV/atom) = 0.296
data_Ca2GaHPd6
_chemical_formula_sum 'Ca4 Ga2 H2 Pd12'
_symmetry_space_group_name_H-M 'C 1 2/m 1'
_symmetry_Int_Tables_number 12
_symmetry_space_group_name_Hall '-C 2y'
_cell_length_a 10.029
_cell_length_b 5.781
_cell_length_c 6.803
_cell_angle_alpha 90.00
_cell_angle_beta 120.03
_cell_angle_gamma 90.00
loop_
_atom_site_label
_atom_site_type_symbol
_atom_site_fract_x
_atom_site_fract_y
_atom_site_fract_z
Ca1 Ca 0.224 0.000 0.177
Ga1 Ga 0.000 0.500 0.000
H1 H 0.000 0.000 0.500
Pd1 Pd 0.020 0.251 0.311
Pd2 Pd 0.230 0.000 0.687



# 6
# Ca2GaHPd GGA-PBE relaxed
# - electronic total energy (eV/atom) = -3.635
# - size of the total moment (μB per formula unit) = 0.000
# - DOS at the Fermi energy (states/eV/atom) = 0.816
data_Ca2GaHPd
_chemical_formula_sum 'Ca2 Ga1 H1 Pd1'
_symmetry_space_group_name_H-M 'P 4/m m m'
_symmetry_Int_Tables_number 123
_symmetry_space_group_name_Hall '-P 4 2'
_cell_length_a 5.073
_cell_length_b 5.073
_cell_length_c 3.704
_cell_angle_alpha 90.00
_cell_angle_beta 90.00
_cell_angle_gamma 90.00
loop_
_atom_site_label
_atom_site_type_symbol
_atom_site_fract_x
_atom_site_fract_y
_atom_site_fract_z
Ca1 Ca 0.000 0.500 0.000
Ga1 Ga 0.000 0.000 0.500
H1 H 0.500 0.500 0.000
Pd1 Pd 0.500 0.500 0.500